Ho4Er: relaxed, PBE.

abc: 3.513 3.513 14.434
angles: 83.12 83.12 60.04
Fractional coordinates of all 5 atoms:
Ho  0.200  0.200  0.400
Ho  0.800  0.800  0.600
Ho  0.601  0.601  0.200
Ho  0.399  0.399  0.800
Er  0.000  0.000  0.000

Values from the calculation:
Space-group type: C2/m (12)
Fermi-level density of states, states/eV/cell: 7.09
Energy above the lowest structure with this stoichiometry, eV per atom: 0.000
M_tot, μB/f.u.: 0.0

---

Ta2NiIr9: relaxed, PBE.

abc: 6.772 6.166 7.304
angles: 59.46 71.91 42.93
Fractional coordinates of all 12 atoms:
Ta  0.087  0.090  0.594
Ta  0.913  0.910  0.406
Ni  0.000  0.000  0.000
Ir  0.412  0.430  0.917
Ir  0.588  0.570  0.083
Ir  0.500  0.500  0.500
Ir  0.672  0.663  0.675
Ir  0.832  0.839  0.832
Ir  0.249  0.265  0.747
Ir  0.328  0.337  0.325
Ir  0.751  0.735  0.253
Ir  0.168  0.161  0.168

Values from the calculation:
Space-group type: P-1 (2)
Fermi-level density of states, states/eV/cell: 10.56
M_tot, μB/f.u.: 0.0

---

Number 1: energy -22.76 eV for the cell shown. Number 2: energy -112.90 eV for the cell shown.